# PBE PrHoSbF2, relaxed
# - size of the total moment (μB/cell) = 0.45
# - total energy (eV per atom) = -5.902
data_PrHoSbF2
_chemical_formula_sum 'Pr1 Ho1 Sb1 F2'
_cell_length_a 4.0864
_cell_length_b 4.0864
_cell_length_c 7.1777
_cell_angle_alpha 90.00
_cell_angle_beta 90.00
_cell_angle_gamma 120.00
_symmetry_space_group_name_H-M 'P 3 m 1'
_symmetry_Int_Tables_number 156
loop_
_symmetry_equiv_pos_as_xyz
'x,y,z'
'-y,x-y,z'
'-x+y,-x,z'
'-y,-x,z'
'-x+y,y,z'
'x,x-y,z'
loop_
_atom_site_label
_atom_site_type_symbol
_atom_site_fract_x
_atom_site_fract_y
_atom_site_fract_z
Pr1 Pr 0.0000 0.0000 0.0000
Ho1 Ho 0.6667 0.3333 0.4674
Sb1 Sb 0.3333 0.6667 0.7213
F1 F 0.0000 0.0000 0.3496
F2 F 0.6667 0.3333 0.1523

# PBE Pr2Ho2SiF5, relaxed
# - size of the total moment (μB/cell) = 0.01
# - total energy (eV per atom) = -5.955
data_Pr2Ho2SiF5
_chemical_formula_sum 'Pr4 Ho4 Si2 F10'
_cell_length_a 15.5612
_cell_length_b 3.6281
_cell_length_c 7.7781
_cell_angle_alpha 90.00
_cell_angle_beta 116.17
_cell_angle_gamma 90.00
_symmetry_space_group_name_H-M 'C 1 2/m 1'
_symmetry_Int_Tables_number 12
loop_
_symmetry_equiv_pos_as_xyz
'x,y,z'
'-x,-y,-z'
'-x,y,-z'
'x,-y,z'
'x+1/2,y+1/2,z'
'-x+1/2,-y+1/2,-z'
'-x+1/2,y+1/2,-z'
'x+1/2,-y+1/2,z'
loop_
_atom_site_label
_atom_site_type_symbol
_atom_site_fract_x
_atom_site_fract_y
_atom_site_fract_z
Pr1 Pr 0.0051 0.0000 0.2714
Ho1 Ho 0.1906 0.5000 0.1468
Si1 Si 0.0000 0.5000 0.0000
F1 F 0.0000 0.5000 0.5000
F2 F 0.1782 0.0000 0.9285
F3 F 0.2460 0.5000 0.6799

# PBE RbHoF3, relaxed
# - size of the total moment (μB/cell) = 0.64
# - total energy (eV per atom) = -5.226
data_RbHoF3
_chemical_formula_sum 'Rb2 Ho2 F6'
_cell_length_a 6.2551
_cell_length_b 6.3237
_cell_length_c 4.4464
_cell_angle_alpha 90.00
_cell_angle_beta 90.00
_cell_angle_gamma 90.00
_symmetry_space_group_name_H-M 'C m m m'
_symmetry_Int_Tables_number 65
_symmetry_space_group_name_Hall '-C 2 2'
loop_
_atom_site_label
_atom_site_type_symbol
_atom_site_fract_x
_atom_site_fract_y
_atom_site_fract_z
Rb1 Rb 0.0000 0.0000 0.0000
Ho1 Ho 0.0000 0.5000 0.5000
F1 F 0.0000 0.5000 0.0000
F2 F 0.2500 0.2500 0.5000

# PBE HoSF, relaxed
# - size of the total moment (μB/cell) = 0.00
# - total energy (eV per atom) = -6.495
data_HoSF
_chemical_formula_sum 'Ho6 S6 F6'
_cell_length_a 3.9915
_cell_length_b 3.9915
_cell_length_c 24.7084
_cell_angle_alpha 90.00
_cell_angle_beta 90.00
_cell_angle_gamma 120.00
_symmetry_space_group_name_H-M 'R -3 m'
_symmetry_Int_Tables_number 166
_symmetry_space_group_name_Hall '-R 3 2"'
loop_
_atom_site_label
_atom_site_type_symbol
_atom_site_fract_x
_atom_site_fract_y
_atom_site_fract_z
Ho1 Ho 0.0000 0.0000 0.0000
Ho2 Ho 0.0000 0.0000 0.5000
S1 S 0.0000 0.0000 0.1090
F1 F 0.0000 0.0000 0.3327